No. 1
Crystalline Be2SbW at its relaxed geometry, computed with PBE.

final energy = -22.8 eV per cell
total moment = 0.0000 μB/atom
crystal system = monoclinic
energy relative to the elements, uncorrected = 0.44 eV/atom

Cell and atoms, written as CIF:
```
data_Be2SbW
_chemical_formula_sum 'Be2 Sb1 W1'
_symmetry_space_group_name_H-M 'P 1 m 1'
_symmetry_Int_Tables_number 6
_cell_length_a 2.870
_cell_length_b 3.715
_cell_length_c 5.730
_cell_angle_alpha 90.00
_cell_angle_beta 93.08
_cell_angle_gamma 90.00
loop_
_symmetry_equiv_pos_as_xyz
'x,y,z'
'x,-y,z'
loop_
_atom_site_label
_atom_site_fract_x
_atom_site_fract_y
_atom_site_fract_z
Be1 0.000 0.000 0.000
Be2 0.028 0.500 0.188
Sb1 0.022 0.000 0.518
W1 0.462 0.500 0.842
```



No. 2
Crystalline BaSnHRh2 at its relaxed geometry, computed with PBE.

final energy = -103.7 eV per cell
total moment = 0.0000 μB/atom
crystal system = orthorhombic

Cell and atoms, written as CIF:
```
data_BaSnHRh2
_chemical_formula_sum 'Ba4 Sn4 H4 Rh8'
_symmetry_space_group_name_H-M 'C m c m'
_symmetry_Int_Tables_number 63
_symmetry_space_group_name_Hall '-C 2c 2'
_cell_length_a 4.317
_cell_length_b 12.066
_cell_length_c 7.357
_cell_angle_alpha 90.00
_cell_angle_beta 90.00
_cell_angle_gamma 90.00
loop_
_atom_site_label
_atom_site_fract_x
_atom_site_fract_y
_atom_site_fract_z
Ba1 0.000 0.060 0.250
Sn1 0.000 0.216 0.750
H1 0.000 0.500 0.000
Rh1 0.000 0.345 0.051
```



No. 3
Crystalline RbMgTe2I at its relaxed geometry, computed with PBE.

final energy = -13.3 eV per cell
total moment = 0.0000 μB/atom
excess energy over the best structure of this formula in the dataset = 0.00 kcal/mol of atoms
crystal system = tetragonal
energy relative to the elements, uncorrected = -0.58 eV/atom

Cell and atoms, written as CIF:
```
data_RbMgTe2I
_chemical_formula_sum 'Rb1 Mg1 Te2 I1'
_symmetry_space_group_name_H-M 'P 4/m m m'
_symmetry_Int_Tables_number 123
_symmetry_space_group_name_Hall '-P 4 2'
_cell_length_a 5.556
_cell_length_b 5.556
_cell_length_c 6.258
_cell_angle_alpha 90.00
_cell_angle_beta 90.00
_cell_angle_gamma 90.00
loop_
_atom_site_label
_atom_site_fract_x
_atom_site_fract_y
_atom_site_fract_z
Rb1 0.000 0.000 0.000
Mg1 0.500 0.500 0.500
Te1 0.000 0.500 0.500
I1 0.500 0.500 0.000
```



No. 4
Crystalline CsInSe2 at its relaxed geometry, computed with PBE.

final energy = -53.8 eV per cell
total moment = 0.0000 μB/atom
crystal system = orthorhombic
energy relative to the elements, uncorrected = -0.72 eV/atom

Cell and atoms, written as CIF:
```
data_CsInSe2
_chemical_formula_sum 'Cs4 In4 Se8'
_symmetry_space_group_name_H-M 'C m c m'
_symmetry_Int_Tables_number 63
_symmetry_space_group_name_Hall '-C 2c 2'
_cell_length_a 5.181
_cell_length_b 23.009
_cell_length_c 5.757
_cell_angle_alpha 90.00
_cell_angle_beta 90.00
_cell_angle_gamma 90.00
loop_
_atom_site_label
_atom_site_fract_x
_atom_site_fract_y
_atom_site_fract_z
Cs1 0.000 0.171 0.250
In1 0.000 0.438 0.250
Se1 0.000 0.331 0.250
Se2 0.000 0.451 0.750
```